# LiVOF3 | Alexandria via LeMat-Bulk | PBE+U | relaxed
# - E (eV/atom) = -5.883
# - density (Mg/m³) = 3.0
data_LiVOF3
_cell_length_a 7.8592
_cell_length_b 11.9323
_cell_length_c 6.1855
_cell_angle_alpha 90.00
_cell_angle_beta 90.92
_cell_angle_gamma 90.00
_symmetry_space_group_name_H-M 'C 1 2 1'
_symmetry_Int_Tables_number 5
loop_
_symmetry_equiv_pos_as_xyz
'x,y,z'
'-x,y,-z'
'x+1/2,y+1/2,z'
'-x+1/2,y+1/2,-z'
loop_
_atom_site_label
_atom_site_fract_x
_atom_site_fract_y
_atom_site_fract_z
_atom_site_occupancy
Li1 0.0000 0.0000 0.0000 1
Li2 0.0000 0.4801 0.5000 1
Li3 0.1570 0.2501 0.2331 1
V1 0.0000 0.4914 0.0000 1
V2 0.0000 0.8259 0.5000 1
V3 0.2475 0.6346 0.2577 1
O1 0.1909 0.7446 0.4732 1
O2 0.2265 0.5269 0.0403 1
F1 0.0064 0.3841 0.2302 1
F2 0.0071 0.6078 0.7579 1
F3 0.0082 0.8943 0.7595 1
F4 0.0118 0.1357 0.7541 1
F5 0.2432 0.7477 0.0395 1
F6 0.2466 0.5197 0.4736 1